TaZnSb2W after structural relaxation, computed with PBE.

As for the formation energy (no corrections): 1425 meV per atom. Its energy is -5.4399 eV/atom.

The space group is P4/mmm (No. 123) and the conventional cell measures 5.178, 5.178 and 4.871 Å, with angles of 90.00, 90.00 and 90.00 degrees. The distinct sites, in fractional coordinates, are Ta at (0.000, 0.000, 0.000), Zn at (0.500, 0.500, 0.000), Sb at (0.000, 0.500, 0.500) and W at (0.500, 0.500, 0.500).